Compound: Ba5Ni4
Source: Alexandria
Functional: PBE-GGA
Structure: relaxed Values from VASP.

Summary:
Energy of formation from the pure elements: 0.5043 eV/atom
Energy: -28.20 eV/cell

```
&SYSTEM
  ibrav = 0, nat = 9, ntyp = 2
/
ATOMIC_SPECIES
Ba 137.33 Ba.upf
Ni 58.69 Ni.upf
ATOMIC_POSITIONS crystal
Ba 0.000 0.000 0.000
Ba 0.308 0.308 0.615
Ba 0.308 0.692 0.000
Ba 0.692 0.308 0.000
Ba 0.692 0.692 0.385
Ni 0.000 0.371 0.371
Ni 0.000 0.629 0.629
Ni 0.371 0.000 0.371
Ni 0.629 0.000 0.629
CELL_PARAMETERS angstrom
-4.698 4.698 3.013
4.698 -4.698 3.013
4.698 4.698 -3.013
```